{
  "formula": "K3Li2MgF9",
  "functional": "PBE",
  "state": "relaxed",
  "e_tot_ry_per_atom": -0.3166,
  "n_ef_per_ev_atom": 1.050,
  "raw_formation_energy_ev_per_atom": -2.604,
  "lattice_angstrom": [[5.696, 0.000, 0.000], [-2.848, 4.933, 0.000], [0.000, 0.000, 7.160]],
  "species": ["K", "K", "K", "Li", "Li", "Mg", "F", "F", "F", "F", "F", "F", "F", "F", "F"],
  "frac_coords": [[0.333, 0.667, 0.675], [0.000, 0.000, 0.000], [0.667, 0.333, 0.325], [0.333, 0.667, 0.180], [0.667, 0.333, 0.820], [0.000, 0.000, 0.500], [0.836, 0.164, 0.662], [0.836, 0.672, 0.662], [0.328, 0.164, 0.662], [0.672, 0.836, 0.338], [0.164, 0.328, 0.338], [0.164, 0.836, 0.338], [0.500, 0.000, 0.000], [0.000, 0.500, 0.000], [0.500, 0.500, 0.000]]
}


{
  "formula": "KLi3Mg4F12",
  "functional": "PBE",
  "state": "relaxed",
  "e_tot_ry_per_atom": -0.3716,
  "n_ef_per_ev_atom": 0.000,
  "raw_formation_energy_ev_per_atom": -3.272,
  "lattice_angstrom": [[6.599, 0.000, 0.000], [-2.200, 6.222, 0.000], [-2.200, -3.111, 5.388]],
  "species": ["K", "Li", "Li", "Li", "Mg", "Mg", "Mg", "Mg", "F", "F", "F", "F", "F", "F", "F", "F", "F", "F", "F", "F"],
  "frac_coords": [[0.000, 0.000, 0.000], [0.000, 0.500, 0.500], [0.500, 0.500, 0.000], [0.500, 0.000, 0.500], [0.500, 0.000, 0.000], [0.500, 0.500, 0.500], [0.000, 0.500, 0.000], [0.000, 0.000, 0.500], [0.309, 0.816, 0.125], [0.691, 0.184, 0.875], [0.691, 0.816, 0.508], [0.875, 0.691, 0.184], [0.816, 0.125, 0.309], [0.184, 0.492, 0.309], [0.492, 0.309, 0.184], [0.184, 0.875, 0.691], [0.309, 0.184, 0.492], [0.125, 0.309, 0.816], [0.816, 0.508, 0.691], [0.508, 0.691, 0.816]]
}